# HfTiBe10, relaxed, DFT GGA-PBE
# * calculated density: 4.47 Mg/m³
# * DFT formation energy: -2.7 eV/f.u.
# * magnetic moment: 0.00 μB/cell
# * volume: 118 Å³/f.u.
data_HfTiBe10
_space_group_name_H-M_alt 'P m m m'
_space_group_IT_number 47
_cell_length_a 3.425
_cell_length_b 4.450
_cell_length_c 7.710
_cell_angle_alpha 90.00
_cell_angle_beta 90.00
_cell_angle_gamma 90.00
loop_
_space_group_symop_operation_xyz
'x,y,z'
'-x,-y,-z'
'-x,-y,z'
'x,y,-z'
'x,-y,-z'
'-x,y,z'
'-x,y,-z'
'x,-y,z'
loop_
_atom_site_label
_atom_site_type_symbol
_atom_site_fract_x
_atom_site_fract_y
_atom_site_fract_z
Hf1 Hf 0.000 0.000 0.000
Ti1 Ti 0.000 0.500 0.500
Be1 Be 0.000 0.000 0.342
Be2 Be 0.000 0.500 0.176
Be3 Be 0.500 0.000 0.500
Be4 Be 0.500 0.251 0.255
Be5 Be 0.500 0.500 0.000